No. 1
This record from the Alexandria database describes Pr3Si2S8Cl at its PBEsol-relaxed geometry. The functional is meta-GGA SCAN.

Structure (POSCAR):
```
Pr3Si2S8Cl
1.0
7.7044 -3.8287 0.0000
7.7044 3.8287 0.0000
-1.3459 0.0000 10.7967
Pr Si S Cl
6 4 16 2
Cartesian
6.6950 2.9147 8.0975
4.2927 0.9257 3.3885
3.6198 -0.9257 8.7868
10.4432 0.9257 2.0099
9.7702 -0.9257 7.4082
7.3679 -2.9147 2.6992
2.4337 0.2406 0.3203
1.7607 -0.2406 5.7186
12.3022 0.2406 5.0781
11.6293 -0.2406 10.4764
1.1421 0.7032 9.0529
6.1251 2.6240 4.8527
4.2743 1.9080 9.2457
3.6325 0.5824 6.3121
8.6108 2.6240 0.5456
1.8151 -0.7032 3.6546
4.3054 -0.5824 0.9138
9.1157 1.9080 6.9493
4.9472 -1.9080 3.8473
9.7575 0.5824 9.8829
12.2479 0.7032 7.1421
5.4522 -2.6240 10.2510
10.4305 -0.5824 4.4846
9.7887 -1.9080 1.5510
7.9378 -2.6240 5.9440
12.9208 -0.7032 1.7438
6.6950 0.0344 8.0975
7.3679 -0.0344 2.6992
```

Formation energy without anion corrections (meV/atom): -1755
Space group: C2/c


No. 2
This record from the Alexandria database describes Be2AsS at its PBEsol-relaxed geometry. The functional is meta-GGA SCAN.

Structure (POSCAR):
```
Be2AsS
1.0
-2.5306 2.5306 4.8478
2.5306 -2.5306 4.8478
2.5306 2.5306 -4.8478
Be As S
4 2 2
Cartesian
3.7959 1.1271 -1.2120
1.1271 1.2653 1.2120
-1.2653 1.4035 3.6359
1.4035 1.2653 6.0598
2.5306 0.0000 2.4239
0.0000 0.0000 4.8478
0.0000 0.0000 0.0000
0.0000 2.5306 2.4239
```

Formation energy without anion corrections (meV/atom): -483
Space group: I-42d


Number 1: final energy -259.58 eV/f.u., DOS(E_F) 0.00 states/eV per cell. Number 2: final energy -40.46 eV/f.u., DOS(E_F) 4.32 states/eV per cell.